Material: PrScAg2
Method: DFT, PBE
State: relaxed

```
PrScAg2
1.0
-1.4371 -3.2310 -0.0895
0.1493 0.0315 -3.5340
6.8218 -3.0414 0.2611
Pr Sc Ag
1 1 2
Direct
0.5000 0.5000 0.5000
0.5000 0.5000 0.0000
0.0000 0.0000 0.7906
0.0000 0.0000 0.2094
```

Properties
Density of states at the Fermi level ... 0.692 states/eV per atom
Offset from the most stable computed form ... 0.000 eV per atom
Magnetization ... 0.00 μB/cell
ΔE_f ... -0.252 eV per atom



Material: PrSc2Ag
Method: DFT, PBE
State: relaxed

```
PrSc2Ag
1.0
-0.6671 -3.6912 3.5205
3.9431 -1.4801 2.9538
0.0487 1.1814 5.0065
Pr Sc Ag
1 2 1
Direct
0.0000 0.0000 0.0000
0.7501 0.7501 0.7498
0.2499 0.2499 0.2502
0.5000 0.5000 0.5000
```

Properties
Density of states at the Fermi level ... 1.111 states/eV per atom
Offset from the most stable computed form ... 0.180 eV per atom
Magnetization ... 2.43 μB/cell
ΔE_f ... 0.092 eV per atom



Material: PrScAg2
Method: DFT, PBE
State: relaxed

```
PrScAg2
1.0
-3.6750 -2.2236 2.4191
0.7984 -1.9227 4.4685
-2.1221 2.6578 4.2420
Pr Sc Ag
1 1 2
Direct
0.0000 0.0000 0.0000
0.5000 0.5000 0.5000
0.7773 0.7773 0.6681
0.2227 0.2227 0.3319
```

Properties
Density of states at the Fermi level ... 0.688 states/eV per atom
Offset from the most stable computed form ... 0.038 eV per atom
Magnetization ... 0.00 μB/cell
ΔE_f ... -0.213 eV per atom



Material: PrSc2Ag
Method: DFT, PBE
State: relaxed

```
PrSc2Ag
1.0
-2.0234 -1.3499 -2.5323
1.7727 -3.0246 0.1959
-5.2083 -2.6902 5.5956
Pr Sc Ag
1 2 1
Direct
0.5000 0.5000 0.5000
0.0000 0.0000 0.7981
0.0000 0.0000 0.2019
0.5000 0.5000 0.0000
```

Properties
Density of states at the Fermi level ... 1.550 states/eV per atom
Offset from the most stable computed form ... 0.000 eV per atom
Magnetization ... 0.00 μB/cell
ΔE_f ... -0.088 eV per atom



Material: PrScAg2
Method: DFT, PBE
State: relaxed

```
PrScAg2
1.0
3.5737 0.0000 0.0000
0.0000 5.1579 0.0000
0.0000 0.0000 5.1579
Pr Sc Ag
1 1 2
Direct
0.5000 0.5000 0.5000
0.5000 0.0000 0.0000
0.0000 0.0000 0.5000
0.0000 0.5000 0.0000
```

Properties
Density of states at the Fermi level ... 0.911 states/eV per atom
Offset from the most stable computed form ... 0.059 eV per atom
Magnetization ... 0.00 μB/cell
ΔE_f ... -0.192 eV per atom



Material: Pr4ScAg5
Method: DFT, PBE
State: relaxed

```
Pr4ScAg5
1.0
3.6576 0.0000 0.0000
0.0000 3.6576 0.0000
0.0000 0.0000 19.1443
Pr Sc Ag
4 1 5
Direct
0.0000 0.0000 0.1888
0.0000 0.0000 0.3965
0.0000 0.0000 0.6035
0.0000 0.0000 0.8112
0.0000 0.0000 0.0000
0.5000 0.5000 0.0801
0.5000 0.5000 0.2932
0.5000 0.5000 0.5000
0.5000 0.5000 0.7068
0.5000 0.5000 0.9199
```

Properties
Density of states at the Fermi level ... 0.888 states/eV per atom
Magnetization ... 0.00 μB/cell
ΔE_f ... -0.238 eV per atom



Material: PrSc4Ag
Method: DFT, PBE
State: relaxed

```
PrSc4Ag
1.0
5.2323 0.0000 0.0000
0.0000 7.8077 0.0000
-2.6162 0.0000 7.6613
Pr Sc Ag
2 8 2
Direct
0.8885 0.7806 0.7769
0.1115 0.2806 0.2231
0.9067 0.2810 0.8133
0.0933 0.7810 0.1867
0.5001 0.0309 0.0002
0.4999 0.5309 0.9998
0.7222 0.4654 0.4443
0.2778 0.9654 0.5557
0.7222 0.0952 0.4445
0.2778 0.5952 0.5555
0.6572 0.7803 0.3143
0.3428 0.2803 0.6857
```

Properties
Density of states at the Fermi level ... 1.564 states/eV per atom
Magnetization ... 0.00 μB/cell
ΔE_f ... 0.176 eV per atom



Material: PrSc2Ag
Method: DFT, PBE
State: relaxed

```
PrSc2Ag
1.0
-0.4626 -1.5766 3.0439
0.5968 -3.3941 0.2981
9.5761 0.2322 3.5411
Pr Sc Ag
1 2 1
Direct
0.5009 0.5009 0.4974
0.0711 0.0711 0.7867
0.2619 0.2619 0.2143
0.6661 0.6661 0.0017
```

Properties
Density of states at the Fermi level ... 1.419 states/eV per atom
Offset from the most stable computed form ... 0.149 eV per atom
Magnetization ... 0.00 μB/cell
ΔE_f ... 0.061 eV per atom



Material: Pr2ScAg4
Method: DFT, PBE
State: relaxed

```
Pr2ScAg4
1.0
4.9981 0.0000 -1.5933
-0.5079 4.9723 -1.5933
-0.3504 -0.3880 7.5371
Pr Sc Ag
2 1 4
Direct
0.7224 0.7224 0.4449
0.2776 0.2776 0.5551
0.0000 0.0000 0.0000
0.3928 0.8928 0.7856
0.8928 0.3928 0.7856
0.6072 0.1072 0.2144
0.1072 0.6072 0.2144
```

Properties
Density of states at the Fermi level ... 0.989 states/eV per atom
Magnetization ... 0.00 μB/cell
ΔE_f ... -0.077 eV per atom



Material: Pr3ScAg2
Method: DFT, PBE
State: relaxed

```
Pr3ScAg2
1.0
3.7038 0.0000 0.0000
0.0000 5.1795 -1.7148
0.0000 0.0211 8.7443
Pr Sc Ag
3 1 2
Direct
0.5000 0.5000 0.0000
0.5000 0.8265 0.6530
0.5000 0.1735 0.3470
0.0000 0.0000 0.0000
0.0000 0.3452 0.6905
0.0000 0.6548 0.3095
```

Properties
Density of states at the Fermi level ... 0.882 states/eV per atom
Magnetization ... 0.00 μB/cell
ΔE_f ... -0.126 eV per atom



Material: PrScAgSn
Method: DFT, PBE
State: relaxed

```
PrScAgSn
1.0
5.2145 0.0000 0.0000
2.6073 4.5159 0.0000
2.6073 1.5053 4.2576
Pr Sc Sn Ag
1 1 1 1
Direct
0.2500 0.2500 0.2500
0.7500 0.7500 0.7500
0.0000 0.0000 0.0000
0.5000 0.5000 0.5000
```

Properties
Density of states at the Fermi level ... 0.951 states/eV per atom
Magnetization ... 0.65 μB/cell
ΔE_f ... -0.454 eV per atom



Material: PrScTcAg
Method: DFT, PBE
State: relaxed

```
PrScTcAg
1.0
4.9425 0.0000 0.0000
2.4713 4.2804 0.0000
2.4713 1.4268 4.0356
Pr Sc Tc Ag
1 1 1 1
Direct
0.7500 0.7500 0.7500
0.2500 0.2500 0.2500
0.5000 0.5000 0.5000
0.0000 0.0000 0.0000
```

Properties
Density of states at the Fermi level ... 0.929 states/eV per atom
Magnetization ... 0.00 μB/cell
ΔE_f ... -0.016 eV per atom



Material: PrScAg2Te4
Method: DFT, PBE
State: relaxed

```
PrScAg2Te4
1.0
7.4520 0.0000 0.0000
3.7260 5.9010 -0.4615
3.7260 0.0236 5.9190
Pr Sc Ag Te
1 1 2 4
Direct
0.0000 0.0000 0.0000
0.5000 0.5000 0.5000
0.1830 0.3170 0.3170
0.8170 0.6830 0.6830
0.5061 0.1015 0.4712
0.0788 0.8985 0.5288
0.9212 0.4712 0.1015
0.4939 0.5288 0.8985
```

Properties
Density of states at the Fermi level ... 0.004 states/eV per atom
Formation energy without anion corrections ... -530 kJ/mol of formula units
Magnetization ... 0.00 μB/cell